(1)
Material: KSi2I
Method: DFT, PBE
State: relaxed

The structure in CIF format:
```
data_KSi2I
_chemical_formula_sum 'K4 Si8 I4'
_cell_length_a 9.005
_cell_length_b 9.005
_cell_length_c 5.992
_cell_angle_alpha 90.00
_cell_angle_beta 90.00
_cell_angle_gamma 90.00
_symmetry_space_group_name_H-M 'I -4 2 d'
_symmetry_Int_Tables_number 122
_symmetry_space_group_name_Hall 'I -4 2bw'
loop_
_atom_site_label
_atom_site_type_symbol
_atom_site_fract_x
_atom_site_fract_y
_atom_site_fract_z
_atom_site_occupancy
K1 K 0.000 0.000 0.000 1
Si1 Si 0.222 0.250 0.625 1
I1 I 0.000 0.000 0.500 1
```

Excess energy over the best structure of this formula in the dataset: 0.000 eV/atom
Electronic total energy: -2.69 eV/atom
Formation energy from raw total energies: 0.6867 eV/atom
Crystal system: tetragonal
Volume: 485.85 Å³ per cell



(2)
Material: KSi2I
Method: DFT, PBE
State: relaxed

The structure in CIF format:
```
data_KSi2I
_chemical_formula_sum 'K4 Si8 I4'
_cell_length_a 7.595
_cell_length_b 7.595
_cell_length_c 7.595
_cell_angle_alpha 90.00
_cell_angle_beta 90.00
_cell_angle_gamma 90.00
_symmetry_space_group_name_H-M 'F m -3 m'
_symmetry_Int_Tables_number 225
_symmetry_space_group_name_Hall '-F 4 2 3'
loop_
_atom_site_label
_atom_site_type_symbol
_atom_site_fract_x
_atom_site_fract_y
_atom_site_fract_z
_atom_site_occupancy
K1 K 0.000 0.000 0.000 1
Si1 Si 0.250 0.250 0.250 1
I1 I 0.000 0.000 0.500 1
```

Excess energy over the best structure of this formula in the dataset: 0.234 eV/atom
Electronic total energy: -2.45 eV/atom
Formation energy from raw total energies: 0.9203 eV/atom
Crystal system: cubic
Volume: 438.09 Å³ per cell



(3)
Material: KSiI2
Method: DFT, PBE
State: relaxed

The structure in CIF format:
```
data_KSiI2
_chemical_formula_sum 'K4 Si4 I8'
_cell_length_a 8.123
_cell_length_b 8.123
_cell_length_c 8.123
_cell_angle_alpha 90.00
_cell_angle_beta 90.00
_cell_angle_gamma 90.00
_symmetry_space_group_name_H-M 'F m -3 m'
_symmetry_Int_Tables_number 225
_symmetry_space_group_name_Hall '-F 4 2 3'
loop_
_atom_site_label
_atom_site_type_symbol
_atom_site_fract_x
_atom_site_fract_y
_atom_site_fract_z
_atom_site_occupancy
K1 K 0.000 0.000 0.000 1
Si1 Si 0.000 0.000 0.500 1
I1 I 0.250 0.250 0.250 1
```

Excess energy over the best structure of this formula in the dataset: 0.135 eV/atom
Electronic total energy: -2.48 eV/atom
Formation energy from raw total energies: -0.0772 eV/atom
Crystal system: cubic
Volume: 535.94 Å³ per cell



(4)
Material: K2SiI
Method: DFT, PBE
State: relaxed

The structure in CIF format:
```
data_K2SiI
_chemical_formula_sum 'K8 Si4 I4'
_cell_length_a 8.589
_cell_length_b 8.589
_cell_length_c 8.589
_cell_angle_alpha 90.00
_cell_angle_beta 90.00
_cell_angle_gamma 90.00
_symmetry_space_group_name_H-M 'F m -3 m'
_symmetry_Int_Tables_number 225
_symmetry_space_group_name_Hall '-F 4 2 3'
loop_
_atom_site_label
_atom_site_type_symbol
_atom_site_fract_x
_atom_site_fract_y
_atom_site_fract_z
_atom_site_occupancy
K1 K 0.250 0.250 0.250 1
Si1 Si 0.000 0.000 0.000 1
I1 I 0.000 0.000 0.500 1
```

Excess energy over the best structure of this formula in the dataset: 0.000 eV/atom
Electronic total energy: -2.44 eV/atom
Formation energy from raw total energies: -0.1448 eV/atom
Crystal system: cubic
Volume: 633.70 Å³ per cell



(5)
Material: K2SiI
Method: DFT, PBE
State: relaxed

The structure in CIF format:
```
data_K2SiI
_chemical_formula_sum 'K8 Si4 I4'
_cell_length_a 9.363
_cell_length_b 9.363
_cell_length_c 7.370
_cell_angle_alpha 90.00
_cell_angle_beta 90.00
_cell_angle_gamma 90.00
_symmetry_space_group_name_H-M 'I -4 2 d'
_symmetry_Int_Tables_number 122
_symmetry_space_group_name_Hall 'I -4 2bw'
loop_
_atom_site_label
_atom_site_type_symbol
_atom_site_fract_x
_atom_site_fract_y
_atom_site_fract_z
_atom_site_occupancy
K1 K 0.244 0.750 0.125 1
Si1 Si 0.000 0.000 0.000 1
I1 I 0.000 0.000 0.500 1
```

Excess energy over the best structure of this formula in the dataset: 0.115 eV/atom
Electronic total energy: -2.32 eV/atom
Formation energy from raw total energies: -0.0302 eV/atom
Crystal system: tetragonal
Volume: 646.06 Å³ per cell



(6)
Material: KSi3I
Method: DFT, PBE
State: relaxed

The structure in CIF format:
```
data_KSi3I
_chemical_formula_sum 'K1 Si3 I1'
_cell_length_a 5.787
_cell_length_b 5.787
_cell_length_c 5.787
_cell_angle_alpha 90.00
_cell_angle_beta 90.00
_cell_angle_gamma 90.00
_symmetry_space_group_name_H-M 'P m -3 m'
_symmetry_Int_Tables_number 221
_symmetry_space_group_name_Hall '-P 4 2 3'
loop_
_atom_site_label
_atom_site_type_symbol
_atom_site_fract_x
_atom_site_fract_y
_atom_site_fract_z
_atom_site_occupancy
K1 K 0.000 0.000 0.000 1
Si1 Si 0.000 0.000 0.500 1
I1 I 0.500 0.500 0.500 1
```

Excess energy over the best structure of this formula in the dataset: 0.777 eV/atom
Electronic total energy: -1.80 eV/atom
Formation energy from raw total energies: 1.9866 eV/atom
Crystal system: cubic
Volume: 193.82 Å³ per cell



(7)
Material: KSiTe2I
Method: DFT, PBE
State: relaxed

The structure in CIF format:
```
data_KSiTe2I
_chemical_formula_sum 'K1 Si1 Te2 I1'
_cell_length_a 5.353
_cell_length_b 5.353
_cell_length_c 6.126
_cell_angle_alpha 90.00
_cell_angle_beta 90.00
_cell_angle_gamma 90.00
_symmetry_space_group_name_H-M 'P 4/m m m'
_symmetry_Int_Tables_number 123
_symmetry_space_group_name_Hall '-P 4 2'
loop_
_atom_site_label
_atom_site_type_symbol
_atom_site_fract_x
_atom_site_fract_y
_atom_site_fract_z
_atom_site_occupancy
K1 K 0.000 0.000 0.000 1
Si1 Si 0.500 0.500 0.500 1
Te1 Te 0.000 0.500 0.500 1
I1 I 0.500 0.500 0.000 1
```

Excess energy over the best structure of this formula in the dataset: 0.000 eV/atom
Electronic total energy: -3.11 eV/atom
Formation energy from raw total energies: -0.2417 eV/atom
Crystal system: tetragonal
Volume: 175.55 Å³ per cell



(8)
Material: KSiTe2I
Method: DFT, PBE
State: relaxed

The structure in CIF format:
```
data_KSiTe2I
_chemical_formula_sum 'K1 Si1 Te2 I1'
_cell_length_a 6.327
_cell_length_b 6.327
_cell_length_c 6.179
_cell_angle_alpha 90.00
_cell_angle_beta 90.00
_cell_angle_gamma 90.00
_symmetry_space_group_name_H-M 'P 4/m m m'
_symmetry_Int_Tables_number 123
_symmetry_space_group_name_Hall '-P 4 2'
loop_
_atom_site_label
_atom_site_type_symbol
_atom_site_fract_x
_atom_site_fract_y
_atom_site_fract_z
_atom_site_occupancy
K1 K 0.000 0.000 0.000 1
Si1 Si 0.500 0.500 0.500 1
Te1 Te 0.000 0.500 0.000 1
I1 I 0.000 0.000 0.500 1
```

Excess energy over the best structure of this formula in the dataset: 1.251 eV/atom
Electronic total energy: -1.86 eV/atom
Formation energy from raw total energies: 1.0095 eV/atom
Crystal system: tetragonal
Volume: 247.33 Å³ per cell



(9)
Material: K2SmI5
Method: DFT, PBE
State: relaxed

The structure in CIF format:
```
data_K2SmI5
_chemical_formula_sum 'K4 Sm2 I10'
_cell_length_a 12.697
_cell_length_b 12.697
_cell_length_c 9.108
_cell_angle_alpha 90.00
_cell_angle_beta 134.10
_cell_angle_gamma 90.00
_symmetry_space_group_name_H-M 'C 1 m 1'
_symmetry_Int_Tables_number 8
loop_
_symmetry_equiv_pos_as_xyz
'x,y,z'
'x,-y,z'
'x+1/2,y+1/2,z'
'x+1/2,-y+1/2,z'
loop_
_atom_site_label
_atom_site_type_symbol
_atom_site_fract_x
_atom_site_fract_y
_atom_site_fract_z
_atom_site_occupancy
K1 K 0.000 0.250 0.000 1
Sm1 Sm 0.078 0.000 0.655 1
I1 I 0.136 0.234 0.771 1
I2 I 0.356 0.500 0.209 1
I3 I 0.370 0.000 0.772 1
I4 I 0.401 0.500 0.770 1
```

Excess energy over the best structure of this formula in the dataset: 0.083 eV/atom
Electronic total energy: -3.20 eV/atom
Formation energy from raw total energies: -1.3660 eV/atom
Crystal system: monoclinic
Volume: 1054.45 Å³ per cell



(10)
Material: K5Sm2I12
Method: DFT, PBE
State: relaxed

The structure in CIF format:
```
data_K5Sm2I12
_chemical_formula_sum 'K10 Sm4 I24'
_cell_length_a 20.010
_cell_length_b 8.768
_cell_length_c 11.495
_cell_angle_alpha 90.00
_cell_angle_beta 108.38
_cell_angle_gamma 90.00
_symmetry_space_group_name_H-M 'C 1 2/m 1'
_symmetry_Int_Tables_number 12
loop_
_symmetry_equiv_pos_as_xyz
'x,y,z'
'-x,-y,-z'
'-x,y,-z'
'x,-y,z'
'x+1/2,y+1/2,z'
'-x+1/2,-y+1/2,-z'
'-x+1/2,y+1/2,-z'
'x+1/2,-y+1/2,z'
loop_
_atom_site_label
_atom_site_type_symbol
_atom_site_fract_x
_atom_site_fract_y
_atom_site_fract_z
_atom_site_occupancy
K1 K 0.000 0.000 0.000 1
K2 K 0.190 0.500 0.336 1
K3 K 0.209 0.500 0.861 1
Sm1 Sm 0.000 0.252 0.500 1
I1 I 0.005 0.500 0.699 1
I2 I 0.006 0.000 0.693 1
I3 I 0.143 0.269 0.065 1
I4 I 0.160 0.257 0.577 1
```

Electronic total energy: -3.08 eV/atom
Formation energy from raw total energies: -1.3152 eV/atom
Crystal system: monoclinic
Volume: 1913.77 Å³ per cell